# Mn6OF11 meta-GGA SCAN PBEsol geometry
# Polymorph energy (0 for the lowest one) = 0.11 kcal/mol of atoms
# Total energy = -409.9 eV/cell
# Total moment = 58.000 Bohr magnetons per cell
data_Mn6OF11
_chemical_formula_sum 'Mn12 O2 F22'
_space_group_name_H-M_alt 'P -1'
_space_group_IT_number 2
_cell_length_a 4.865
_cell_length_b 5.742
_cell_length_c 15.840
_cell_angle_alpha 90.02
_cell_angle_beta 90.28
_cell_angle_gamma 90.90
loop_
_space_group_symop_operation_xyz
'x,y,z'
'-x,-y,-z'
loop_
_atom_site_label
_atom_site_type_symbol
_atom_site_fract_x
_atom_site_fract_y
_atom_site_fract_z
Mn1 Mn 0.002 0.341 0.253
Mn2 Mn 0.006 0.328 0.916
Mn3 Mn 0.015 0.661 0.410
Mn4 Mn 0.474 0.803 0.257
Mn5 Mn 0.481 0.170 0.417
Mn6 Mn 0.492 0.833 0.912
O1 O 0.205 0.584 0.304
F1 F 0.212 0.379 0.141
F2 F 0.220 0.387 0.481
F3 F 0.235 0.606 0.975
F4 F 0.243 0.622 0.643
F5 F 0.249 0.092 0.307
F6 F 0.250 0.403 0.810
F7 F 0.261 0.894 0.799
F8 F 0.267 0.888 0.475
F9 F 0.270 0.101 0.975
F10 F 0.279 0.886 0.142
F11 F 0.289 0.119 0.637